Entry from Alexandria via LeMat-Bulk: crystalline La5Pm2PrNd at its relaxed geometry (PBE).

## Properties
**Space group**: I4/mcm, No. 140
**M_tot**: 0.0 μB/cell
**E_form**: 0.23 eV per atom
**Volume**: 326 Å³/f.u.
**Final energy**: -83.17 eV/cell

CIF file:
```
data_La5Pm2PrNd
_space_group_name_H-M_alt 'P 1'
_space_group_IT_number 1
_space_group_name_Hall 'P 1'
_cell_length_a 10.219
_cell_length_b 10.219
_cell_length_c 10.219
_cell_angle_alpha 127.48
_cell_angle_beta 127.48
_cell_angle_gamma 77.46
loop_
_atom_site_label
_atom_site_type_symbol
_atom_site_fract_x
_atom_site_fract_y
_atom_site_fract_z
_atom_site_occupancy
La1 La 0.000 0.000 0.000 1
La2 La 0.062 0.562 0.899 1
La3 La 0.164 0.062 0.500 1
La4 La 0.336 0.836 0.899 1
La5 La 0.438 0.336 0.500 1
La6 La 0.500 0.500 0.000 1
La7 La 0.562 0.664 0.500 1
La8 La 0.664 0.164 0.101 1
La9 La 0.836 0.938 0.500 1
La10 La 0.938 0.438 0.101 1
Pm1 Pm 0.118 0.382 0.500 1
Pm2 Pm 0.382 0.882 0.264 1
Pm3 Pm 0.618 0.118 0.736 1
Pm4 Pm 0.882 0.618 0.500 1
Pr1 Pr 0.250 0.250 0.000 1
Pr2 Pr 0.750 0.750 0.000 1
Nd1 Nd 0.250 0.750 0.500 1
Nd2 Nd 0.750 0.250 0.500 1
```